(1)
Density functional theory data (PBE) for an optimized crystal structure of Li4Zn3.

Values from the calculation:
ΔE_f in meV per atom: -163
Total moment in Bohr magnetons per cell: 0.00

Cell: 5.1123 5.1123 5.0257 Å, 90.00 90.00 120.00°
Fractional positions:
Li 0.0000 0.0000 0.2422
Li 0.0000 0.0000 0.7578
Li 0.6667 0.3333 0.5000
Li 0.3333 0.6667 0.5000
Zn 0.0000 0.5000 0.0000
Zn 0.5000 0.5000 0.0000
Zn 0.5000 0.0000 0.0000

***

(2)
Density functional theory data (PBE) for an optimized crystal structure of Li2Zn.

Values from the calculation:
ΔE_f in meV per atom: -130
Total moment in Bohr magnetons per cell: 0.00

Cell: 4.5887 4.5887 2.5505 Å, 90.00 90.00 120.00°
Fractional positions:
Zn 0.0000 0.0000 0.0000
Li 0.3333 0.6667 0.4730
Li 0.6667 0.3333 0.5270

***

(3)
Density functional theory data (PBE) for an optimized crystal structure of Li3Zn4.

Values from the calculation:
ΔE_f in meV per atom: -153
Total moment in Bohr magnetons per cell: 0.00

Cell: 2.7141 4.0870 9.6964 Å, 102.17 98.05 90.00°
Fractional positions:
Li 0.8575 0.3575 0.7150
Li 0.0000 0.5000 0.0000
Li 0.1425 0.6425 0.2850
Zn 0.7154 0.2153 0.4307
Zn 0.2846 0.7847 0.5693
Zn 0.4293 0.9293 0.8586
Zn 0.5707 0.0707 0.1414

***

(4)
Density functional theory data (PBE) for an optimized crystal structure of Li3Zn13.

Values from the calculation:
ΔE_f in meV per atom: -86
Total moment in Bohr magnetons per cell: 0.00

Cell: 5.8487 5.8487 6.8850 Å, 90.00 90.00 90.00°
Fractional positions:
Li 0.0004 0.9996 0.2435
Li 0.7458 0.2542 0.0000
Li 0.0004 0.9996 0.7565
Zn 0.5019 0.0022 0.2496
Zn 0.5022 0.4978 0.2600
Zn 0.9978 0.4981 0.2496
Zn 0.7494 0.7506 0.0000
Zn 0.2494 0.2506 0.0000
Zn 0.2475 0.7525 0.0000
Zn 0.5019 0.0022 0.7504
Zn 0.5022 0.4978 0.7400
Zn 0.9978 0.4981 0.7504
Zn 0.7630 0.2370 0.5000
Zn 0.7607 0.7626 0.5000
Zn 0.2374 0.2393 0.5000
Zn 0.2423 0.7577 0.5000